Entry from the Alexandria database: Pm2CdNi9 after structural relaxation (PBE).

Crystal system: trigonal
Electronic total energy in eV/cell: -64.6
Formation energy from the elements in meV per atom: -180

```
Pm2CdNi9
1.0
2.486 1.435 8.156
-2.486 1.435 8.156
0.000 -2.870 8.156
Pm Cd Ni
2 1 9
direct
0.135 0.135 0.135
0.865 0.865 0.865
0.000 0.000 0.000
0.081 0.580 0.580
0.333 0.333 0.333
0.420 0.420 0.919
0.420 0.919 0.420
0.500 0.500 0.500
0.580 0.081 0.580
0.580 0.580 0.081
0.667 0.667 0.667
0.919 0.420 0.420
```